Dy6SbAs2Se3: relaxed, PBE.

Calculated values
ΔE_f (raw): -155 kJ/mol of atoms

```
12
Lattice="9.043 -2.072 0.000 9.043 2.072 0.000 -1.880 0.000 8.091" Properties=species:S:1:pos:R:3 pbc="T T T"
Dy -0.410 0.000 2.119
Dy 5.164 0.000 3.422
Dy 4.248 0.000 7.301
Dy 11.959 0.000 0.790
Dy 11.042 0.000 4.669
Dy 16.616 0.000 5.971
Sb 9.043 0.000 0.000
As 2.397 0.000 2.710
As 13.810 0.000 5.381
Se 1.406 0.000 6.740
Se 8.103 0.000 4.045
Se 14.800 0.000 1.351
```

RbMnSbCl6: relaxed, PBE.

Calculated values
ΔE_f (raw): -117 kJ/mol of atoms

```
9
Lattice="6.854 0.000 0.000 -3.427 5.936 0.000 0.000 0.000 7.309" Properties=species:S:1:pos:R:3 pbc="T T T"
Rb 0.000 0.000 0.000
Mn 0.000 3.957 3.655
Sb 3.427 1.979 3.655
Cl -1.211 2.268 5.139
Cl -2.068 3.753 2.170
Cl 1.211 2.268 2.170
Cl -0.857 5.851 5.139
Cl 2.068 3.753 5.139
Cl 0.857 5.851 2.170
```

DyZrSc4: relaxed, PBE.

Calculated values
ΔE_f: -7 meV/atom
ΔE to the lowest computed polymorph: 0 meV per atom

```
6
Lattice="5.199 0.000 0.000 0.000 1.664 8.750 0.000 -1.664 8.750" Properties=species:S:1:pos:R:3 pbc="T T T"
Dy 0.000 0.000 0.000
Zr 2.600 0.000 13.611
Sc 0.000 0.000 5.754
Sc 0.000 0.000 11.731
Sc 2.600 0.000 2.042
Sc 2.600 0.000 7.635
```

In2Sn2Sb: relaxed, PBE.

Calculated values
ΔE_f (raw): 14 kJ/mol of atoms
ΔE to the lowest computed polymorph: 40 meV per atom

```
5
Lattice="-2.095 2.095 8.346 2.095 -2.095 8.346 2.095 2.095 -8.346" Properties=species:S:1:pos:R:3 pbc="T T T"
In 0.000 0.000 1.551
In 0.000 0.000 15.142
Sn 2.095 0.000 4.173
Sn 0.000 2.095 4.173
Sb 0.000 0.000 8.346
```

NiOsC: relaxed, PBE.

Calculated values
ΔE_f: 346 meV/atom
ΔE to the lowest computed polymorph: 4 meV per atom

```
6
Lattice="2.027 -5.933 0.000 2.027 5.933 0.000 0.000 0.000 2.815" Properties=species:S:1:pos:R:3 pbc="T T T"
Ni 2.027 4.553 0.000
Ni 2.027 -4.553 0.000
Os 2.027 2.153 1.407
Os 2.027 -2.153 1.407
C 2.027 0.711 0.000
C 2.027 -0.711 0.000
```

PmPr4Al2: relaxed, PBE.

Calculated values
ΔE_f: 12 meV/atom

```
14
Lattice="5.886 -3.552 0.000 5.886 3.552 0.000 0.000 0.000 10.696" Properties=species:S:1:pos:R:3 pbc="T T T"
Pm 0.000 0.000 0.000
Pm 5.886 0.000 5.348
Pr 8.829 -1.775 2.674
Pr 2.943 1.775 8.022
Pr 5.886 3.536 7.085
Pr 5.886 0.016 1.737
Pr 2.943 -1.775 2.674
Pr 8.829 1.775 8.022
Pr 5.886 -0.016 8.959
Pr 5.886 -3.536 3.611
Al 2.734 0.000 5.348
Al 3.152 0.000 0.000
Al 8.620 0.000 0.000
Al 9.038 0.000 5.348
```

KHfAg2Cl: relaxed, PBE.

Calculated values
ΔE_f (raw): -1 kJ/mol of atoms

```
5
Lattice="5.550 0.000 0.000 0.000 5.550 0.000 0.000 0.000 4.966" Properties=species:S:1:pos:R:3 pbc="T T T"
K 0.000 0.000 0.000
Hf 2.775 2.775 2.483
Ag 0.000 2.775 2.483
Ag 2.775 0.000 2.483
Cl 2.775 2.775 0.000
```

ZrAl2Mo: relaxed, PBE.

Calculated values
ΔE_f: -267 meV/atom
ΔE to the lowest computed polymorph: 3 meV per atom

```
4
Lattice="4.004 0.000 0.000 0.000 4.004 0.000 0.000 0.000 4.299" Properties=species:S:1:pos:R:3 pbc="T T T"
Zr 0.000 0.000 0.000
Al 0.000 2.002 2.150
Al 2.002 0.000 2.150
Mo 2.002 2.002 0.000
```

PrBeGa: relaxed, PBE.

Calculated values
ΔE_f: -304 meV/atom

```
3
Lattice="4.282 0.000 0.000 -2.141 3.708 0.000 0.000 0.000 3.913" Properties=species:S:1:pos:R:3 pbc="T T T"
Pr 0.000 0.000 0.000
Be 0.000 2.472 1.956
Ga 2.141 1.236 1.956
```

SrLiCd6: relaxed, PBE.

Calculated values
ΔE_f: -69 meV/atom

```
8
Lattice="5.923 0.000 0.000 0.000 5.923 0.000 0.000 0.000 5.923" Properties=species:S:1:pos:R:3 pbc="T T T"
Sr 0.000 0.000 0.000
Li 2.961 2.961 2.961
Cd 0.000 1.530 2.961
Cd 0.000 4.393 2.961
Cd 1.530 2.961 0.000
Cd 2.961 0.000 1.530
Cd 2.961 0.000 4.393
Cd 4.393 2.961 0.000
```

PuCuTcRu: relaxed, PBE.

Calculated values
ΔE_f: 100 meV/atom

```
4
Lattice="0.000 3.167 3.167 3.167 0.000 3.167 3.167 3.167 0.000" Properties=species:S:1:pos:R:3 pbc="T T T"
Pu 0.000 0.000 0.000
Cu 3.167 3.167 3.167
Tc 1.583 1.583 1.583
Ru 4.750 4.750 4.750
```

ZnGa2GeS: relaxed, PBE.

Calculated values
ΔE_f (raw): 27 kJ/mol of atoms

```
5
Lattice="5.006 0.000 0.000 0.000 5.006 0.000 0.000 0.000 4.695" Properties=species:S:1:pos:R:3 pbc="T T T"
Zn 0.000 0.000 0.000
Ga 0.000 2.503 2.348
Ga 2.503 0.000 2.348
Ge 0.000 0.000 2.348
S 2.503 2.503 0.000
```

NaPtAuO4: relaxed, PBE.

Calculated values
ΔE_f (raw): -58 kJ/mol of atoms

```
14
Lattice="-3.133 3.148 5.095 3.133 -3.148 5.095 3.133 3.148 -5.095" Properties=species:S:1:pos:R:3 pbc="T T T"
Na 0.000 1.574 1.004
Na 3.133 1.574 4.091
Pt 1.566 1.574 -2.547
Pt 1.566 -1.574 2.547
Au 3.133 0.000 0.000
Au 0.000 0.000 5.095
O 3.133 2.849 -2.793
O 1.826 1.574 -0.529
O 4.440 1.574 -0.529
O 3.133 -0.299 2.793
O 0.000 3.447 2.302
O -1.307 1.574 5.624
O 1.307 1.574 5.624
O 0.000 0.299 7.888
```

LaPr8Sn6: relaxed, PBE.

Calculated values
ΔE_f: -582 meV/atom

```
15
Lattice="4.743 2.738 6.649 -4.743 2.738 6.649 0.000 -5.477 6.649" Properties=species:S:1:pos:R:3 pbc="T T T"
La 0.000 0.000 0.000
Pr -3.166 0.023 8.705
Pr -1.603 -2.731 11.242
Pr 0.000 0.000 6.641
Pr 1.564 -2.753 8.705
Pr -1.564 2.753 11.242
Pr 0.000 0.000 13.306
Pr 1.603 2.731 8.705
Pr 3.166 -0.023 11.242
Sn -1.598 -2.715 8.008
Sn -3.151 0.027 11.939
Sn -1.552 2.742 8.008
Sn 1.552 -2.742 11.939
Sn 3.151 -0.027 8.008
Sn 1.598 2.715 11.939
```

LiNd4Ni: relaxed, PBE.

Calculated values
ΔE_f: 0 meV/atom

```
12
Lattice="7.524 -3.741 0.000 7.524 3.741 0.000 -1.247 0.000 6.287" Properties=species:S:1:pos:R:3 pbc="T T T"
Li 2.427 0.000 1.282
Li 11.375 0.000 5.005
Nd 5.070 1.807 2.733
Nd 7.524 1.925 0.000
Nd 3.463 0.000 5.688
Nd 8.732 1.807 3.554
Nd 5.070 -1.807 2.733
Nd 10.339 0.000 0.599
Nd 7.524 -1.925 0.000
Nd 8.732 -1.807 3.554
Ni 6.597 0.000 4.385
Ni 7.204 0.000 1.902
```

CsTaMo2: relaxed, PBE.

Calculated values
ΔE_f: 1765 meV/atom
ΔE to the lowest computed polymorph: 0 meV per atom

```
4
Lattice="0.000 3.406 3.406 3.406 0.000 3.406 3.406 3.406 0.000" Properties=species:S:1:pos:R:3 pbc="T T T"
Cs 0.000 0.000 0.000
Ta 3.406 3.406 3.406
Mo 1.703 1.703 1.703
Mo 5.108 5.108 5.108
```

Pa2Co2Ge: relaxed, PBE.

Calculated values
ΔE_f: -499 meV/atom
ΔE to the lowest computed polymorph: 68 meV per atom

```
5
Lattice="-2.115 2.727 3.785 2.115 -2.727 3.785 2.115 2.727 -3.785" Properties=species:S:1:pos:R:3 pbc="T T T"
Pa 0.000 0.000 1.490
Pa 0.000 0.000 6.079
Co 2.115 1.318 0.000
Co 0.000 1.409 3.785
Ge 0.000 2.727 0.000
```

BaGeI2: relaxed, PBE.

Calculated values
ΔE_f (raw): -52 kJ/mol of atoms
ΔE to the lowest computed polymorph: 44 meV per atom

```
8
Lattice="-2.887 2.887 10.470 2.887 -2.887 10.470 2.887 2.887 -10.470" Properties=species:S:1:pos:R:3 pbc="T T T"
Ba 0.000 0.000 0.000
Ba 0.000 2.887 5.235
Ge 2.887 0.000 5.235
Ge 0.000 0.000 10.470
I 1.443 -1.232 7.853
I 1.655 1.443 2.618
I 1.443 4.119 -2.618
I 1.232 1.443 13.088
```

Nd2ZnCu: relaxed, PBE.

Calculated values
ΔE_f: -224 meV/atom

```
4
Lattice="3.649 0.000 0.000 0.000 3.649 0.000 0.000 0.000 7.251" Properties=species:S:1:pos:R:3 pbc="T T T"
Nd 0.000 0.000 1.772
Nd 0.000 0.000 5.479
Zn 1.825 1.825 3.626
Cu 1.825 1.825 0.000
```

Ag3Br: relaxed, PBE.

Calculated values
ΔE_f (raw): 13 kJ/mol of atoms
ΔE to the lowest computed polymorph: 149 meV per atom

```
4
Lattice="4.334 0.000 0.000 0.000 4.334 0.000 0.000 0.000 4.334" Properties=species:S:1:pos:R:3 pbc="T T T"
Ag 0.000 0.000 2.167
Ag 0.000 2.167 0.000
Ag 2.167 0.000 0.000
Br 2.167 2.167 2.167
```

InBrF: relaxed, PBE.

Calculated values
ΔE_f (raw): -135 kJ/mol of atoms

```
6
Lattice="5.907 0.000 0.000 0.000 4.676 0.000 -1.262 0.000 5.943" Properties=species:S:1:pos:R:3 pbc="T T T"
In 1.284 0.000 0.536
In 3.361 0.000 5.407
Br 0.935 2.338 1.917
Br 3.709 2.338 4.027
F 1.328 0.000 4.712
F 3.317 0.000 1.231
```

TmAlTc: relaxed, PBE.

Calculated values
ΔE_f: 220 meV/atom
ΔE to the lowest computed polymorph: 688 meV per atom

```
12
Lattice="6.304 0.000 0.000 0.000 6.304 0.000 0.000 0.000 6.304" Properties=species:S:1:pos:R:3 pbc="T T T"
Tm 0.005 0.005 0.005
Tm 3.147 6.299 3.157
Tm 3.157 3.147 6.299
Tm 6.299 3.157 3.147
Al 1.571 4.723 4.733
Al 1.581 1.581 1.581
Al 4.723 4.733 1.571
Al 4.733 1.571 4.723
Tc 0.000 6.304 3.152
Tc 6.304 3.152 0.000
Tc 3.152 0.000 6.304
Tc 3.152 3.152 3.152
```

NaPt2I: relaxed, PBE.

Calculated values
ΔE_f (raw): 35 kJ/mol of atoms
ΔE to the lowest computed polymorph: 149 meV per atom

```
4
Lattice="0.000 3.379 3.379 3.379 0.000 3.379 3.379 3.379 0.000" Properties=species:S:1:pos:R:3 pbc="T T T"
Na 0.000 0.000 0.000
Pt 1.690 1.690 1.690
Pt 5.069 5.069 5.069
I 3.379 3.379 3.379
```

Y2PdPb: relaxed, PBE.

Calculated values
ΔE_f: 44 meV/atom

```
8
Lattice="-3.016 3.016 7.825 3.016 -3.016 7.825 3.016 3.016 -7.825" Properties=species:S:1:pos:R:3 pbc="T T T"
Y 4.523 1.269 -1.956
Y 1.269 1.508 1.956
Y -1.508 1.747 5.869
Y 1.747 1.508 9.781
Pd 0.000 0.000 0.000
Pd 0.000 3.016 3.912
Pb 3.016 0.000 3.912
Pb 0.000 0.000 7.825
```

Hg2TeC: relaxed, PBE.

Calculated values
ΔE_f (raw): 160 kJ/mol of atoms
ΔE to the lowest computed polymorph: 610 meV per atom

```
4
Lattice="0.000 3.582 3.582 3.582 0.000 3.582 3.582 3.582 0.000" Properties=species:S:1:pos:R:3 pbc="T T T"
Hg 1.791 1.791 1.791
Hg 5.373 5.373 5.373
Te 0.000 0.000 0.000
C 3.582 3.582 3.582
```